Below is an optimized crystal structure of Mg2InW, with properties calculated at the PBE level.

POSCAR file:
```
Mg2InW
1.0
2.889 0.000 0.000
0.000 4.964 0.000
-0.542 0.000 5.359
Mg In W
2 1 1
direct
0.232 0.000 0.232 Mg
0.768 0.000 0.768 Mg
0.000 0.500 0.500 In
0.500 0.500 0.000 W
```

Values from the calculation:
Space-group type: P2/m (10)
Final energy: -0.317 Ry per atom
Magnetization: 0.00 μB per cell